Below is an optimized crystal structure of V7Cu2S12, with properties calculated at the GGA-PBEsol level.

Lattice parameters (Å, degrees): 6.568 6.594 7.847 72.42 89.99 72.97
Fractional positions:
V  0.000  0.000  0.000
V  0.051  0.640  0.845
V  0.284  0.027  0.488
V  0.385  0.307  0.181
V  0.615  0.693  0.819
V  0.716  0.973  0.512
V  0.949  0.360  0.155
Cu  0.330  0.671  0.331
Cu  0.670  0.329  0.669
S  0.006  0.970  0.313
S  0.143  0.407  0.375
S  0.191  0.257  0.961
S  0.320  0.701  0.013
S  0.342  0.635  0.650
S  0.475  0.073  0.708
S  0.525  0.927  0.292
S  0.658  0.365  0.350
S  0.680  0.299  0.987
S  0.809  0.743  0.039
S  0.857  0.593  0.625
S  0.994  0.030  0.687

## Properties
- SG: P-1 (2)
- Calculated total energy: -7.059 eV/atom
- E_form (uncorrected): -0.93 eV/atom